1.
Below is a relaxed TlZn2Fe crystal, with properties calculated at the GGA-PBE level.

a b c (Å): 2.9101 4.5935 10.3519
angles (deg): 90.00 90.00 90.00
With the nearest neighbours (Å) after each atom.
Space group Immm (No. 71)
Symmetry-distinct sites (fractional):
Tl1 0.0000 0.0000 0.0000  4 Fe 2.72, 2 Tl 2.91
Zn1 0.0000 0.5000 0.2092  2 Fe 2.61, 6 Zn 2.85-2.91
Fe1 0.0000 0.0000 0.5000  4 Zn 2.61, 4 Tl 2.72, 2 Fe 2.91

Properties
Formation energy (eV/atom): 0.308



2.
Below is a relaxed CaAlP4 crystal, with properties calculated at the GGA-PBE level.

a b c (Å): 7.6065 7.6065 7.6065
angles (deg): 90.00 90.00 90.00
With the nearest neighbours (Å) after each atom.
Space group F-43m (No. 216)
Symmetry-distinct sites (fractional):
Ca1 0.0000 0.0000 0.0000  12 P 3.19, 4 Al 3.29
Al1 0.2500 0.2500 0.2500  12 P 3.13, 4 Ca 3.29
P1 0.1128 0.1128 0.6128  3 P 2.43

Properties
Formation energy (eV/atom): 0.102



3.
Below is a relaxed LaTb4Ho3Se8 crystal, with properties calculated at the GGA-PBE level.

a b c (Å): 8.2268 8.2268 20.1104
angles (deg): 90.00 90.00 120.00
With the nearest neighbours (Å) after each atom.
Space group R-3m (No. 166, hexagonal axes)
Symmetry-distinct sites (fractional):
La1 0.0000 0.0000 0.0000  6 Se 2.97
Tb1 0.0000 0.0000 0.5000  6 Se 2.84
Tb2 0.0000 0.5000 0.5000  6 Se 2.92
Ho1 0.0000 0.5000 0.0000  6 Se 2.89
Se1 0.0000 0.0000 0.2514  3 Ho 2.89, 3 Tb 2.92
Se2 0.0091 0.5046 0.2491  3 Tb 2.84-2.92, 2 Ho 2.89, 1 La 2.97



4.
Below is a relaxed PmSi2Sb2Pt7 crystal, with properties calculated at the GGA-PBE level.

a b c (Å): 5.6227 5.6224 15.4265
angles (deg): 90.00 100.47 90.00
With the nearest neighbours (Å) after each atom.
Space group C2/m (No. 12)
Symmetry-distinct sites (fractional):
Pm1 0.0000 0.0000 0.0000  12 Pt 2.81-3.04
Si1 0.1196 0.5000 0.2409  5 Pt 2.35-2.40
Sb1 0.2108 0.0000 0.4227  5 Pt 2.75-2.84
Pt1 0.0000 0.5000 0.0000  4 Pm 2.81, 8 Pt 3.04
Pt2 0.1748 0.2500 0.8483  2 Si 2.40
Pt3 0.1981 0.5000 0.3961  1 Si 2.35



5.
Below is a relaxed AgIrPbO6 crystal, with properties calculated at the GGA-PBE level.

a b c (Å): 5.5918 5.5918 9.0116
angles (deg): 90.00 90.00 120.00
With the nearest neighbours (Å) after each atom.
Space group P-31c (No. 163)
Symmetry-distinct sites (fractional):
Ag1 0.0000 0.0000 0.0000  6 O 2.37
Ir1 0.3333 0.6667 0.2500  6 O 1.93
Pb1 0.3333 0.6667 0.7500  6 O 2.25
O1 0.0438 0.3889 0.1288  1 Ir 1.93



6.
Below is a relaxed AcPm5Ho2Er crystal, with properties calculated at the GGA-PBE level.

a b c (Å): 5.7998 17.5013 12.1567
angles (deg): 90.00 90.00 90.00
With the nearest neighbours (Å) after each atom.
Space group Cmc2_1 (No. 36)
Symmetry-distinct sites (fractional):
Ac1 0.0000 0.1154 0.0000  2 Ho 3.53, 5 Pm 3.55-3.90, 2 Er 3.76
Pm1 0.0000 0.0781 0.3413  5 Pm 3.51-3.93, 4 Ho 3.54-3.80, 1 Er 3.55, 1 Ac 3.90
Pm2 0.0000 0.0801 0.6642  5 Pm 3.51-3.93, 1 Er 3.55, 4 Ho 3.57-3.71
Pm3 0.0000 0.2683 0.2060  2 Pm 3.16, 2 Ho 3.25-3.47
Pm4 0.0000 0.2678 0.7953  3 Pm 3.16-3.50, 1 Ho 3.24
Pm5 0.0000 0.4395 0.6480  3 Ho 3.29-3.58, 1 Pm 3.50, 2 Ac 3.55
Ho1 0.0000 0.3863 0.9999  7 Pm 3.24-3.57, 1 Ho 3.55
Ho2 0.0000 0.4380 0.3534  3 Pm 3.29-3.58, 2 Ac 3.53, 1 Ho 3.55
Er1 0.0000 0.2479 0.5002  9 Pm 3.55-3.84, 3 Ho 3.73-3.78, 2 Ac 3.76

Properties
Formation energy (eV/atom): 0.084



7.
Below is a relaxed GdIn2 crystal, with properties calculated at the GGA-PBE level.

a b c (Å): 5.2576 4.8994 6.7226
angles (deg): 90.00 112.90 90.00
With the nearest neighbours (Å) after each atom.
Space group C2/m (No. 12)
Symmetry-distinct sites (fractional):
Gd1 0.0000 0.0000 0.0000  8 In 3.27-3.40, 4 Gd 3.59
In1 0.1737 0.5000 0.3489  4 In 3.08-3.24, 4 Gd 3.27-3.40

Properties
Formation energy (eV/atom): -0.319



8.
Below is a relaxed TiIrAu crystal, with properties calculated at the GGA-PBE level.

a b c (Å): 5.5483 5.3889 6.8655
angles (deg): 90.00 103.71 90.00
With the nearest neighbours (Å) after each atom.
Space group C2/m (No. 12)
Symmetry-distinct sites (fractional):
Ti1 0.1263 0.0000 0.3378  4 Ir 2.44-2.72
Ir1 0.1109 0.5000 0.3225  4 Ti 2.44-2.72
Au1 0.2500 0.2500 0.0000  4 Au 2.69-2.77, 4 Ir 2.85-2.94, 2 Ti 2.90

Properties
Formation energy (eV/atom): -0.325



9.
Below is a relaxed Tb8Ag2Rh3 crystal, with properties calculated at the GGA-PBE level.

a b c (Å): 9.8989 14.2268 4.8822
angles (deg): 90.00 90.00 90.00
With the nearest neighbours (Å) after each atom.
Space group Cmmm (No. 65)
Symmetry-distinct sites (fractional):
Tb1 0.0000 0.1155 0.0000  2 Rh 2.97, 2 Ag 3.06, 1 Tb 3.29
Tb2 0.0000 0.3824 0.0000  4 Rh 2.96-2.99, 2 Ag 3.12
Tb3 0.2477 0.3833 0.5000  3 Rh 2.95-2.96, 2 Ag 3.10-3.14
Ag1 0.0000 0.2453 0.5000  8 Tb 3.06-3.14
Rh1 0.0000 0.5000 0.5000  8 Tb 2.96
Rh2 0.2495 0.0000 0.0000  8 Tb 2.95-2.99

Properties
Formation energy (eV/atom): -0.406



10.
Below is a relaxed FeIr2Rh4 crystal, with properties calculated at the GGA-PBE level.

a b c (Å): 2.7134 12.5235 12.0216
angles (deg): 90.00 90.00 90.00
With the nearest neighbours (Å) after each atom.
Space group Cmcm (No. 63)
Symmetry-distinct sites (fractional):
Fe1 0.0000 0.2000 0.2500  6 Rh 2.43-2.52, 2 Ir 2.48, 2 Fe 2.71
Ir1 0.0000 0.3672 0.1390  1 Fe 2.48, 6 Rh 2.54-2.76, 3 Ir 2.67-2.71
Rh1 0.0000 0.0000 0.0000  6 Rh 2.71-2.84, 4 Ir 2.72
Rh2 0.0000 0.3142 0.5742  2 Fe 2.52, 3 Ir 2.65-2.76, 5 Rh 2.71-2.80
Rh3 0.0000 0.4607 0.7500  2 Fe 2.43, 2 Ir 2.54, 2 Rh 2.71

Properties
Formation energy (eV/atom): 0.219



11.
Below is a relaxed InIrRu2 crystal, with properties calculated at the GGA-PBE level.

a b c (Å): 4.8181 2.8256 4.8400
angles (deg): 90.00 109.55 90.00
With the nearest neighbours (Å) after each atom.
Space group P2/m (No. 10)
Symmetry-distinct sites (fractional):
In1 0.0000 0.0000 0.0000  6 Ru 2.79, 4 Ir 2.80, 2 In 2.83
Ir1 0.0000 0.5000 0.5000  6 Ru 2.79, 4 In 2.80, 2 Ir 2.83
Ru1 0.5000 0.0000 0.5000  2 In 2.79, 4 Ir 2.79, 6 Ru 2.80-2.83
Ru2 0.5000 0.5000 0.0000  2 Ir 2.79, 4 In 2.79, 6 Ru 2.80-2.83

Properties
Formation energy (eV/atom): 0.235



12.
Below is a relaxed PuSc2Ag3Se6 crystal, with properties calculated at the GGA-PBE level.

a b c (Å): 7.0304 12.2179 6.8539
angles (deg): 90.00 109.78 90.00
With the nearest neighbours (Å) after each atom.
Space group C2/m (No. 12)
Symmetry-distinct sites (fractional):
Pu1 0.0000 0.0000 0.0000  6 Se 2.90
Sc1 0.0000 0.3316 0.0000  6 Se 2.74-2.77
Ag1 0.0000 0.1582 0.5000  6 Se 2.88-2.94
Ag2 0.0000 0.5000 0.5000  6 Se 2.78-2.95
Se1 0.2278 0.5000 0.2377  2 Sc 2.77, 3 Ag 2.78-2.88, 1 Pu 2.90
Se2 0.2470 0.3248 0.7628  2 Sc 2.74-2.75, 3 Ag 2.88-2.95, 1 Pu 2.90



Across the entries above, calculated density takes the values 9.38, 2.88, 8.03, 12.54, 8.21, 7.80, 8.05, 14.56, 8.67, 13.85, 13.62, 6.78 g/cm³, respectively.
Across the entries above, spin magnetization takes the values 2.1, 0.0, 0.0, 0.0, 0.0, 0.0, 7.7, 0.0, 0.0, 2.6, 0.0, 5.0 μB/f.u., respectively.
Across the entries above, energy takes the values -3.0361, -4.4622, -5.8366, -6.1554, -5.5215, -4.5363, -6.8386, -7.0023, -5.3909, -7.7222, -7.3031, -5.6858 eV per atom, respectively.